# 1
Pm5Sm2Dy6: optimized geometry, PBE-GGA.

Cell and atoms, written as CIF:
```
data_Pm5Sm2Dy6
_symmetry_space_group_name_H-M 'P 1'
_symmetry_Int_Tables_number 1
_cell_length_a 3.607
_cell_length_b 11.726
_cell_length_c 20.549
_cell_angle_alpha 90.00
_cell_angle_beta 90.00
_cell_angle_gamma 90.00
loop_
_symmetry_equiv_pos_as_xyz
'x,y,z'
loop_
_atom_site_label
_atom_site_fract_x
_atom_site_fract_y
_atom_site_fract_z
_atom_site_occupancy
Pm1 0.500 0.300 0.450 1
Pm2 0.500 0.700 0.550 1
Pm3 0.500 0.800 0.050 1
Pm4 0.500 0.200 0.950 1
Pm5 0.500 0.585 0.275 1
Pm6 0.500 0.415 0.725 1
Pm7 0.500 0.085 0.225 1
Pm8 0.500 0.915 0.775 1
Pm9 0.500 0.500 0.000 1
Pm10 0.500 0.000 0.500 1
Sm1 0.000 0.328 0.287 1
Sm2 0.000 0.672 0.713 1
Sm3 0.000 0.828 0.213 1
Sm4 0.000 0.172 0.787 1
Dy1 0.000 0.079 0.368 1
Dy2 0.000 0.921 0.632 1
Dy3 0.000 0.579 0.132 1
Dy4 0.000 0.421 0.868 1
Dy5 0.500 0.323 0.134 1
Dy6 0.500 0.677 0.866 1
Dy7 0.500 0.823 0.366 1
Dy8 0.500 0.177 0.634 1
Dy9 0.000 0.560 0.420 1
Dy10 0.000 0.440 0.580 1
Dy11 0.000 0.060 0.080 1
Dy12 0.000 0.940 0.920 1
```

Results
**Space group**: Pbam
**Formation energy**: 0.093 eV per atom

# 2
PmSm6Dy3: optimized geometry, PBE-GGA.

Cell and atoms, written as CIF:
```
data_PmSm6Dy3
_symmetry_space_group_name_H-M 'P 1'
_symmetry_Int_Tables_number 1
_cell_length_a 6.311
_cell_length_b 11.072
_cell_length_c 11.072
_cell_angle_alpha 120.29
_cell_angle_beta 90.00
_cell_angle_gamma 90.00
loop_
_symmetry_equiv_pos_as_xyz
'x,y,z'
loop_
_atom_site_label
_atom_site_fract_x
_atom_site_fract_y
_atom_site_fract_z
_atom_site_occupancy
Pm1 0.117 0.197 0.803 1
Pm2 0.617 0.803 0.197 1
Sm1 0.047 0.709 0.626 1
Sm2 0.547 0.626 0.709 1
Sm3 0.372 0.529 0.947 1
Sm4 0.872 0.947 0.529 1
Sm5 0.382 0.961 0.039 1
Sm6 0.644 0.280 0.720 1
Sm7 0.144 0.720 0.280 1
Sm8 0.882 0.039 0.961 1
Sm9 0.372 0.053 0.471 1
Sm10 0.872 0.471 0.053 1
Sm11 0.047 0.374 0.291 1
Sm12 0.547 0.291 0.374 1
Dy1 0.462 0.942 0.713 1
Dy2 0.962 0.713 0.942 1
Dy3 0.082 0.385 0.615 1
Dy4 0.582 0.615 0.385 1
Dy5 0.962 0.058 0.287 1
Dy6 0.462 0.287 0.058 1
```

Results
**Distance to the lowest polymorph of the same formula**: 20 meV/atom
**Space group**: Cmc2_1
**Formation energy**: 0.146 eV per atom

# 3
Pm7Sm2Dy3: optimized geometry, PBE-GGA.

Cell and atoms, written as CIF:
```
data_Pm7Sm2Dy3
_symmetry_space_group_name_H-M 'P 1'
_symmetry_Int_Tables_number 1
_cell_length_a 3.647
_cell_length_b 5.808
_cell_length_c 19.395
_cell_angle_alpha 98.61
_cell_angle_beta 90.00
_cell_angle_gamma 90.00
loop_
_symmetry_equiv_pos_as_xyz
'x,y,z'
loop_
_atom_site_label
_atom_site_fract_x
_atom_site_fract_y
_atom_site_fract_z
_atom_site_occupancy
Pm1 0.000 0.409 0.817 1
Pm2 0.000 0.768 0.537 1
Pm3 0.000 0.000 0.000 1
Pm4 0.000 0.591 0.183 1
Pm5 0.500 0.072 0.144 1
Pm6 0.500 0.928 0.856 1
Pm7 0.000 0.232 0.463 1
Sm1 0.000 0.852 0.703 1
Sm2 0.000 0.148 0.297 1
Dy1 0.500 0.500 0.000 1
Dy2 0.500 0.685 0.370 1
Dy3 0.500 0.315 0.630 1
```

Results
**Distance to the lowest polymorph of the same formula**: 42 meV/atom
**Space group**: Cmmm
**Formation energy**: 0.110 eV per atom